The following is a DFT calculation (GGA+U) of a relaxed ScNiC2O8 crystal.

Calculated total energy ... -80.61 eV/f.u.
Fermi-level density of states ... 0.707 states/eV/atom

a b c (Å): 4.9827 4.9827 5.8742
angles (deg): 90.00 90.00 120.00
Space group P-3m1 (No. 164)
One atom of each set of equivalent atoms:
Sc (0.0000, 0.0000, 0.0000) [1 per cell]
Ni (0.0000, 0.0000, 0.5000) [1 per cell]
C (0.3333, 0.6667, 0.6917) [2 per cell]
O (0.1800, 0.3600, 0.7615) [6 per cell]
O (0.3333, 0.6667, 0.4571) [2 per cell]